1.
# TaAlI2O (GGA-PBEsol, optimized geometry)
data_TaAlI2O
_chemical_formula_sum 'Ta1 Al1 I2 O1'
_cell_length_a 5.686
_cell_length_b 5.686
_cell_length_c 3.869
_cell_angle_alpha 90.00
_cell_angle_beta 90.00
_cell_angle_gamma 90.00
_space_group_name_H-M_alt 'P 1'
_space_group_IT_number 1
_space_group_name_Hall 'P 1'
loop_
_atom_site_label
_atom_site_type_symbol
_atom_site_fract_x
_atom_site_fract_y
_atom_site_fract_z
Ta1 Ta 0.000 0.000 0.000
Al1 Al 0.500 0.500 0.500
I1 I 0.000 0.500 0.000
I2 I 0.500 0.000 0.000
O1 O 0.000 0.000 0.500
# - Formation energy without anion corrections: -0.46 eV per atom
# - Symmetry: P4/mmm, No. 123
# - Total energy: -0.20378 hartree per atom

=====

2.
# HfRe2F (GGA-PBEsol, optimized geometry)
data_HfRe2F
_chemical_formula_sum 'Hf1 Re2 F1'
_cell_length_a 4.418
_cell_length_b 4.418
_cell_length_c 4.418
_cell_angle_alpha 60.00
_cell_angle_beta 60.00
_cell_angle_gamma 60.00
_space_group_name_H-M_alt 'P 1'
_space_group_IT_number 1
_space_group_name_Hall 'P 1'
loop_
_atom_site_label
_atom_site_type_symbol
_atom_site_fract_x
_atom_site_fract_y
_atom_site_fract_z
Hf1 Hf 0.000 0.000 0.000
Re1 Re 0.250 0.250 0.250
Re2 Re 0.750 0.750 0.750
F1 F 0.500 0.500 0.500
# - Formation energy without anion corrections: 0.73 eV per atom
# - Symmetry: Fm-3m, No. 225
# - Total energy: -0.33224 hartree per atom

=====

3.
# CdCuRe2 (GGA-PBEsol, optimized geometry)
data_CdCuRe2
_chemical_formula_sum 'Cd1 Cu1 Re2'
_cell_length_a 4.653
_cell_length_b 4.653
_cell_length_c 5.021
_cell_angle_alpha 96.89
_cell_angle_beta 96.89
_cell_angle_gamma 33.84
_space_group_name_H-M_alt 'P 1'
_space_group_IT_number 1
_space_group_name_Hall 'P 1'
loop_
_atom_site_label
_atom_site_type_symbol
_atom_site_fract_x
_atom_site_fract_y
_atom_site_fract_z
Cd1 Cd 0.000 0.000 0.000
Cu1 Cu 0.248 0.248 0.787
Re1 Re 0.507 0.507 0.505
Re2 Re 0.755 0.755 0.317
# - Symmetry: Cm, No. 8
# - Formation enthalpy at 0 K: 0.4586 eV/atom
# - Total energy: -0.27894 hartree per atom

=====

4.
# CsIn2Pb2 (GGA-PBEsol, optimized geometry)
data_CsIn2Pb2
_chemical_formula_sum 'Cs1 In2 Pb2'
_cell_length_a 7.728
_cell_length_b 7.728
_cell_length_c 7.728
_cell_angle_alpha 142.43
_cell_angle_beta 142.43
_cell_angle_gamma 54.18
_space_group_name_H-M_alt 'P 1'
_space_group_IT_number 1
_space_group_name_Hall 'P 1'
loop_
_atom_site_label
_atom_site_type_symbol
_atom_site_fract_x
_atom_site_fract_y
_atom_site_fract_z
Cs1 Cs 0.000 0.000 0.000
In1 In 0.250 0.750 0.500
In2 In 0.750 0.250 0.500
Pb1 Pb 0.380 0.380 0.000
Pb2 Pb 0.620 0.620 0.000
# - Symmetry: I4/mmm, No. 139
# - Formation enthalpy at 0 K: -0.1053 eV/atom
# - Total energy: -0.11342 hartree per atom

=====

no.,magnetization (μB per formula unit)
1,1.1
2,0.0
3,0.0
4,0.0